# Li5Mn3Co2O10

A geometry-optimized Li5Mn3Co2O10 structure (PBE+U, the Alexandria database).

Properties
E ... -123.7 eV/f.u.
Space-group type ... P-1 (2)

The structure in POSCAR format:
```
Li5Mn3Co2O10
1.0
5.239 0.000 0.000
-0.878 5.166 0.000
-1.927 -2.711 6.949
Li Mn Co O
5 3 2 10
Cartesian
0.000 0.000 0.000 Li
-1.026 -0.811 5.006 Li
0.791 2.805 0.626 Li
1.643 -0.350 6.323 Li
3.460 3.266 1.943 Li
-0.087 0.951 2.756 Mn
1.656 -1.356 3.474 Mn
2.520 1.504 4.193 Mn
-0.142 1.883 5.664 Co
2.575 0.572 1.285 Co
-1.920 0.880 5.819 O
-0.782 2.556 3.808 O
0.815 -0.598 1.880 O
-0.085 -1.623 6.643 O
0.641 0.345 4.486 O
1.793 2.110 2.463 O
2.518 4.078 0.306 O
1.619 3.053 5.069 O
3.216 -0.101 3.141 O
4.353 1.575 1.130 O
```